1.
A relaxed structure of ReHg3I, computed with PBE.

- Excess energy over the best structure of this formula in the dataset: 0 meV per atom
- Fermi-level density of states: 2.03 states/eV per cell
- Space-group type: Pm-3m
- Raw total energy: -2.21 eV/atom

Cell lengths 5.4717, 5.4717, 5.4717 Å; angles 90.00, 90.00, 90.00 degrees
Last column: nearest neighbours and their distance in Å.
Fractional coordinates of all 5 atoms:
I (0.5000, 0.5000, 0.5000)  12 Hg 3.87
Re (0.0000, 0.0000, 0.0000)  6 Hg 2.74
Hg (0.0000, 0.5000, 0.0000)  2 Re 2.74
Hg (0.0000, 0.0000, 0.5000)  2 Re 2.74
Hg (0.5000, 0.0000, 0.0000)  2 Re 2.74

2.
A relaxed structure of Hg5Pd3, computed with PBE.

- Fermi-level density of states: 2.52 states/eV per cell
- Space-group type: P4/mmm
- Raw total energy: -2.20 eV/atom

Cell lengths 3.1196, 3.1196, 16.0740 Å; angles 90.00, 90.00, 90.00 degrees
Last column: nearest neighbours and their distance in Å.
Fractional coordinates of all 8 atoms:
Hg (0.0000, 0.0000, 0.0000)  8 Pd 2.88, 4 Hg 3.12
Hg (0.0000, 0.0000, 0.2324)  4 Pd 2.90, 4 Hg 3.12
Hg (0.0000, 0.0000, 0.7676)  4 Pd 2.90, 4 Hg 3.12
Hg (0.5000, 0.5000, 0.3833)  4 Pd 2.90, 4 Hg 3.12
Hg (0.5000, 0.5000, 0.6167)  4 Pd 2.90, 4 Hg 3.12
Pd (0.0000, 0.0000, 0.5000)  8 Hg 2.90, 4 Pd 3.12
Pd (0.5000, 0.5000, 0.1152)  8 Hg 2.88-2.90, 4 Pd 3.12
Pd (0.5000, 0.5000, 0.8848)  8 Hg 2.88-2.90, 4 Pd 3.12

3.
A relaxed structure of AlW2Se, computed with PBE.

- Excess energy over the best structure of this formula in the dataset: 439 meV per atom
- Fermi-level density of states: 5.05 states/eV per cell
- Space-group type: I-42d
- Raw total energy: -7.72 eV/atom

Cell lengths 3.8594, 3.8594, 9.7030 Å; angles 78.53, 78.53, 90.00 degrees
Last column: nearest neighbours and their distance in Å.
Fractional coordinates of all 8 atoms:
Se (0.0000, 0.0000, 0.0000)  4 W 2.70, 4 Al 2.73
Se (0.7500, 0.2500, 0.5000)  4 W 2.70, 4 Al 2.73
W (0.6257, 0.1250, 0.2500)  2 Se 2.70, 2 Al 2.70, 4 W 2.73
W (0.1243, 0.6250, 0.2500)  2 Se 2.70, 2 Al 2.70, 4 W 2.73
W (0.3750, 0.3743, 0.7500)  2 Se 2.70, 2 Al 2.70, 4 W 2.73
W (0.8750, 0.8757, 0.7500)  2 Se 2.70, 2 Al 2.70, 4 W 2.73
Al (0.5000, 0.5000, 0.0000)  4 W 2.70, 4 Se 2.73
Al (0.2500, 0.7500, 0.5000)  4 W 2.70, 4 Se 2.73

4.
A relaxed structure of Pa4FeSe3, computed with PBE.

- Fermi-level density of states: 12.82 states/eV per cell
- Space-group type: Cmmm
- Raw total energy: -8.06 eV/atom

Cell lengths 3.8464, 7.1377, 7.1377 Å; angles 108.11, 90.00, 90.00 degrees
Last column: nearest neighbours and their distance in Å.
Fractional coordinates of all 8 atoms:
Pa (0.0000, 0.2149, 0.2149)  2 Fe 2.63, 2 Se 2.90
Pa (0.5000, 0.7604, 0.2396)  1 Fe 2.77, 5 Se 2.85-3.01
Pa (0.0000, 0.7851, 0.7851)  2 Fe 2.63, 2 Se 2.90
Pa (0.5000, 0.2396, 0.7604)  1 Fe 2.77, 5 Se 2.85-3.01
Fe (0.5000, 0.0000, 0.0000)  6 Pa 2.63-2.77
Se (0.0000, 0.0000, 0.5000)  6 Pa 2.85-2.90
Se (0.5000, 0.5000, 0.5000)  6 Pa 3.01-3.07
Se (0.0000, 0.5000, 0.0000)  6 Pa 2.85-2.90

5.
A relaxed structure of KRb2MoH6, computed with PBE.

- Space-group type: Fm-3m
- Raw total energy: -3.48 eV/atom

Cell lengths 6.2716, 6.2716, 6.2716 Å; angles 60.00, 60.00, 60.00 degrees
Last column: nearest neighbours and their distance in Å.
Fractional coordinates of all 10 atoms:
K (0.5000, 0.5000, 0.5000)  6 H 2.57
Rb (0.7500, 0.7500, 0.7500)  12 H 3.16
Rb (0.2500, 0.2500, 0.2500)  12 H 3.16
Mo (0.0000, 0.0000, 0.0000)  6 H 1.86
H (0.2101, 0.7899, 0.7899)  1 Mo 1.86
H (0.2101, 0.7899, 0.2101)  1 Mo 1.86
H (0.2101, 0.2101, 0.7899)  1 Mo 1.86
H (0.7899, 0.7899, 0.2101)  1 Mo 1.86
H (0.7899, 0.2101, 0.2101)  1 Mo 1.86
H (0.7899, 0.2101, 0.7899)  1 Mo 1.86

6.
A relaxed structure of Sr2InHg2, computed with PBE.

- Excess energy over the best structure of this formula in the dataset: 0 meV per atom
- Fermi-level density of states: 6.69 states/eV per cell
- Space-group type: C2/m
- Raw total energy: -1.82 eV/atom

Cell lengths 4.8740, 6.6276, 10.9344 Å; angles 81.61, 77.12, 68.43 degrees
Last column: nearest neighbours and their distance in Å.
Fractional coordinates of all 10 atoms:
Sr (0.3119, 0.2676, 0.1086)  6 Hg 3.45-3.65, 2 In 3.66
Sr (0.5081, 0.3208, 0.6630)  6 Hg 3.47-3.52, 4 In 3.52-3.72
Sr (0.6881, 0.7324, 0.8914)  6 Hg 3.45-3.65, 2 In 3.66
Sr (0.4919, 0.6792, 0.3370)  6 Hg 3.47-3.52, 4 In 3.52-3.72
In (0.7805, 0.0891, 0.3500)  4 Hg 2.90-3.16
In (0.2195, 0.9109, 0.6500)  4 Hg 2.90-3.16
Hg (0.9704, 0.1733, 0.8859)  1 In 3.08, 1 Hg 3.12, 1 Sr 3.45
Hg (0.1384, 0.2896, 0.4336)  3 In 2.90-3.16, 1 Hg 3.04
Hg (0.0296, 0.8267, 0.1141)  1 In 3.08, 1 Hg 3.12, 1 Sr 3.45
Hg (0.8616, 0.7104, 0.5664)  3 In 2.90-3.16, 1 Hg 3.04

7.
A relaxed structure of AcPm4Bi2, computed with PBE.

- Fermi-level density of states: 10.72 states/eV per cell
- Space-group type: I4/mmm
- Raw total energy: -3.98 eV/atom

Cell lengths 5.8765, 5.8765, 9.2668 Å; angles 108.49, 108.49, 90.00 degrees
Last column: nearest neighbours and their distance in Å.
Fractional coordinates of all 7 atoms:
Ac (0.0000, 0.0000, 0.0000)  6 Pm 2.94-3.12
Pm (0.8114, 0.8114, 0.6228)  1 Bi 3.09, 1 Ac 3.12
Pm (0.1886, 0.1886, 0.3772)  1 Bi 3.09, 1 Ac 3.12
Pm (0.0000, 0.5000, 0.0000)  2 Ac 2.94
Pm (0.5000, 0.0000, 0.0000)  2 Ac 2.94
Bi (0.6251, 0.6251, 0.2502)  1 Pm 3.09
Bi (0.3749, 0.3749, 0.7498)  1 Pm 3.09

8.
A relaxed structure of HfMn3As, computed with PBE.

- Excess energy over the best structure of this formula in the dataset: 981 meV per atom
- Fermi-level density of states: 5.33 states/eV per cell
- Space-group type: Pm-3m
- Raw total energy: -7.02 eV/atom

Cell lengths 4.7477, 4.7477, 4.7477 Å; angles 90.00, 90.00, 90.00 degrees
Last column: nearest neighbours and their distance in Å.
Fractional coordinates of all 5 atoms:
As (0.5000, 0.5000, 0.5000)  12 Mn 3.36
Mn (0.0000, 0.5000, 0.0000)  2 Hf 2.37
Mn (0.0000, 0.0000, 0.5000)  2 Hf 2.37
Mn (0.5000, 0.0000, 0.0000)  2 Hf 2.37
Hf (0.0000, 0.0000, 0.0000)  6 Mn 2.37

9.
A relaxed structure of PmPuAlIn, computed with PBE.

- Fermi-level density of states: 8.48 states/eV per cell
- Space-group type: F-43m
- Raw total energy: -6.60 eV/atom

Cell lengths 5.2980, 5.2980, 5.2980 Å; angles 60.00, 60.00, 60.00 degrees
Last column: nearest neighbours and their distance in Å.
Fractional coordinates of all 4 atoms:
Pm (0.7500, 0.7500, 0.7500)  4 In 3.24, 4 Al 3.24
In (0.5000, 0.5000, 0.5000)  4 Pm 3.24, 4 Pu 3.24
Al (0.0000, 0.0000, 0.0000)  4 Pm 3.24, 4 Pu 3.24
Pu (0.2500, 0.2500, 0.2500)  4 In 3.24, 4 Al 3.24

10.
A relaxed structure of HfInPd3, computed with PBE.

- Excess energy over the best structure of this formula in the dataset: 1172 meV per atom
- Fermi-level density of states: 5.71 states/eV per cell
- Space-group type: Pm-3m
- Raw total energy: -5.07 eV/atom

Cell lengths 4.8311, 4.8311, 4.8311 Å; angles 90.00, 90.00, 90.00 degrees
Last column: nearest neighbours and their distance in Å.
Fractional coordinates of all 5 atoms:
Hf (0.5000, 0.5000, 0.5000)  12 Pd 3.42
Pd (0.0000, 0.5000, 0.0000)  2 In 2.42
Pd (0.0000, 0.0000, 0.5000)  2 In 2.42
Pd (0.5000, 0.0000, 0.0000)  2 In 2.42
In (0.0000, 0.0000, 0.0000)  6 Pd 2.42

11.
A relaxed structure of Pr2NdHoEr, computed with PBE.

- Fermi-level density of states: 14.34 states/eV per cell
- Space-group type: Cmcm
- Raw total energy: -4.30 eV/atom

Cell lengths 7.3363, 8.5052, 7.2196 Å; angles 126.09, 90.00, 90.00 degrees
Last column: nearest neighbours and their distance in Å.
Fractional coordinates of all 10 atoms:
Pr (0.5000, 0.3065, 0.0000)  2 Ho 3.19, 1 Pr 3.29
Pr (0.0000, 0.6935, 0.0000)  2 Ho 3.19, 1 Pr 3.29
Pr (0.5000, 0.6935, 0.0000)  2 Ho 3.19, 1 Pr 3.29
Pr (0.0000, 0.3065, 0.0000)  2 Ho 3.19, 1 Pr 3.29
Nd (0.2500, 0.7259, 0.4518)  1 Ho 3.10
Nd (0.7500, 0.2741, 0.5482)  1 Ho 3.10
Ho (0.2500, 0.9915, 0.9830)  1 Nd 3.10, 4 Pr 3.19, 1 Er 3.22
Ho (0.7500, 0.0085, 0.0170)  1 Nd 3.10, 4 Pr 3.19, 1 Er 3.22
Er (0.7500, 0.7328, 0.4656)  1 Ho 3.22
Er (0.2500, 0.2672, 0.5344)  1 Ho 3.22

12.
A relaxed structure of Ti3BeF, computed with PBE.

- Excess energy over the best structure of this formula in the dataset: 0 meV per atom
- Fermi-level density of states: 3.88 states/eV per cell
- Space-group type: Pm-3m
- Raw total energy: -6.27 eV/atom

Cell lengths 4.1079, 4.1079, 4.1079 Å; angles 90.00, 90.00, 90.00 degrees
Last column: nearest neighbours and their distance in Å.
Fractional coordinates of all 5 atoms:
Be (0.5000, 0.5000, 0.5000)  12 Ti 2.90
F (0.0000, 0.0000, 0.0000)  6 Ti 2.05
Ti (0.0000, 0.5000, 0.0000)  2 F 2.05
Ti (0.0000, 0.0000, 0.5000)  2 F 2.05
Ti (0.5000, 0.0000, 0.0000)  2 F 2.05